Here is CuTc2Pb after structural relaxation from Alexandria via LeMat-Bulk. Energies are from PBE.

Calculated values
DOS(E_F): 2.4 states/eV/f.u.
calculated volume: 68.3 Å³ per cell
total moment: 0.00 μB per formula unit
symmetry: Pm (6)
ΔE_f: 357 meV per atom

```
CuTc2Pb
1.0
-1.030 -1.793 -2.313
1.634 -2.383 1.120
-3.914 -4.338 5.106
Tc Pb Cu
2 1 1
Direct
0.500 0.255 0.245 Tc
0.000 0.950 0.051 Tc
0.500 0.758 0.743 Pb
0.000 0.537 0.462 Cu
```